Record 1
This record from Alexandria via LeMat-Bulk describes MgNi2As after structural relaxation. The functional is PBE.

Properties
The value obtained for the density of states at the Fermi level is 3.4 states/eV/f.u. The crystal system is tetragonal. The space-group type is I-42d (122). The calculation puts the total energy at -4.463 eV per atom.

abc: 3.940 3.940 8.579
angles: 76.73 76.73 90.00
Sites, in units of the cell vectors:
Ni (0.695, 0.125, 0.250)
Ni (0.055, 0.625, 0.250)
Ni (0.375, 0.305, 0.750)
Ni (0.875, 0.945, 0.750)
As (0.000, 0.000, 0.000)
As (0.750, 0.250, 0.500)
Mg (0.500, 0.500, 0.000)
Mg (0.250, 0.750, 0.500)



Record 2
This record from Alexandria via LeMat-Bulk describes FeCoRh2 after structural relaxation. The functional is PBE.

Properties
The value obtained for the density of states at the Fermi level is 6.9 states/eV/f.u. The crystal system is trigonal. The space-group type is R-3m (166). The calculation puts the total energy at -7.495 eV per atom.

abc: 8.634 8.634 8.634
angles: 17.87 17.87 17.87
Each line ends with the local moment (μB).
Sites, in units of the cell vectors:
Co (0.250, 0.250, 0.250)  1.91
Fe (0.750, 0.750, 0.750)  2.87
Rh (0.999, 0.999, 0.999)  0.71
Rh (0.501, 0.501, 0.501)  0.71



Record 3
This record from Alexandria via LeMat-Bulk describes Tc2AgHg after structural relaxation. The functional is PBE.

Properties
The value obtained for the density of states at the Fermi level is 3.6 states/eV/f.u. The crystal system is monoclinic. The space-group type is C2/m (12). The calculation puts the total energy at -5.348 eV per atom.

abc: 5.135 5.135 4.797
angles: 80.43 80.43 32.37
Sites, in units of the cell vectors:
Ag (0.750, 0.750, 0.750)
Hg (0.250, 0.250, 0.250)
Tc (0.999, 0.999, 0.988)
Tc (0.501, 0.501, 0.512)



Record 4
This record from Alexandria via LeMat-Bulk describes Ho2TmSc2 after structural relaxation. The functional is PBE.

Properties
The value obtained for the density of states at the Fermi level is 10.0 states/eV/f.u. The crystal system is orthorhombic. The space-group type is Amm2 (38). The calculation puts the total energy at -5.106 eV per atom.

abc: 3.357 5.479 8.326
angles: 109.22 90.00 90.00
Each line ends with the local moment (μB).
Sites, in units of the cell vectors:
Ho (0.200, 0.395, 0.791)  0.04
Ho (0.700, 0.594, 0.189)  0.07
Tm (0.200, 0.021, 0.043)  0.06
Sc (0.200, 0.779, 0.558)  0.14
Sc (0.700, 0.209, 0.419)  0.05



no.,formation enthalpy at 0 K (kJ/mol of formula units)
1,-4
2,28
3,241
4,74